Record 1
VASP calculation (GGA-PBE) on crystalline Na4Cd6Ga at its relaxed geometry.

```
11
Lattice="6.271 0.000 0.000 -3.136 7.562 3.136 0.000 0.000 6.271" Properties=species:S:1:pos:R:3 pbc="T T T"
Na 1.911 4.907 4.360
Na 5.046 2.655 5.046
Na -1.911 4.907 8.182
Na 1.225 2.655 1.225
Cd 2.075 1.677 4.196
Cd 4.196 1.677 2.075
Cd 1.061 5.885 7.332
Cd 0.000 0.000 3.136
Cd -1.061 5.885 5.210
Cd 3.136 0.000 0.000
Ga 0.000 0.000 0.000
```

ρ (g/cm3): 4.669
Formation energy (eV/atom): -0.0221
D(E_F) (states/eV/atom): 0.387

Record 2
VASP calculation (GGA-PBE) on crystalline Ca3Pm4YSe8 at its relaxed geometry.

```
16
Lattice="-3.863 1.414 -7.229 -4.747 -6.832 1.200 0.222 5.930 5.826" Properties=species:S:1:pos:R:3 pbc="T T T"
Ca -4.305 -2.709 -3.014
Ca -4.194 0.256 -0.101
Ca -2.262 -0.451 3.513
Pm -1.931 0.707 -3.614
Pm -1.820 3.672 -0.701
Pm 0.000 0.000 0.000
Pm 0.111 2.965 2.913
Y -2.373 -3.416 0.600
Se -4.256 1.181 4.909
Se -4.368 -1.797 1.983
Se -2.069 1.600 1.419
Se -6.196 1.892 1.278
Se -2.191 -1.379 -1.480
Se -6.319 -1.087 -1.621
Se -4.019 2.309 -2.185
Se -4.131 -0.668 -5.111
```

ρ (g/cm3): 5.710
D(E_F) (states/eV/atom): 0.471
Formation energy (no corrections) (meV/atom): -1878

Record 3
VASP calculation (GGA-PBE) on crystalline Na2Cd3Hg4 at its relaxed geometry.

```
18
Lattice="6.236 0.000 0.000 0.000 9.395 0.000 -3.118 0.000 8.068" Properties=species:S:1:pos:R:3 pbc="T T T"
Na 0.000 5.305 1.861
Na 3.118 4.090 6.207
Na 0.000 0.607 6.207
Na 3.118 8.788 1.861
Cd 0.000 0.000 0.000
Cd 3.118 4.698 0.000
Cd 1.559 7.047 4.506
Cd 4.677 2.349 3.562
Cd 1.559 2.349 3.562
Cd -1.559 7.047 4.506
Hg 1.559 7.047 7.543
Hg 4.677 2.349 0.526
Hg 1.559 2.349 0.526
Hg -1.559 7.047 7.543
Hg 0.000 9.127 3.004
Hg 3.118 0.268 5.065
Hg 0.000 4.430 5.065
Hg 3.118 4.966 3.004
```

ρ (g/cm3): 8.330
Formation energy (eV/atom): -0.1188
ΔE to the lowest computed polymorph (eV per atom): 0.020
D(E_F) (states/eV/atom): 0.330

Record 4
VASP calculation (GGA-PBE) on crystalline PrClO at its relaxed geometry.

```
3
Lattice="4.442 0.000 0.000 2.221 3.847 0.000 2.221 1.282 3.627" Properties=species:S:1:pos:R:3 pbc="T T T"
Pr 2.221 1.282 0.907
O 4.442 2.565 1.813
Cl 0.000 0.000 0.000
```

ρ (g/cm3): 5.154
D(E_F) (states/eV/atom): 0.000
Formation energy (no corrections) (meV/atom): -2369

Record 5
VASP calculation (GGA-PBE) on crystalline Ti2SeBr2 at its relaxed geometry.

```
5
Lattice="-3.001 0.665 -3.090 -3.144 -0.189 3.012 -2.637 5.990 0.776" Properties=species:S:1:pos:R:3 pbc="T T T"
Se 0.000 0.000 0.000
Br -4.355 3.446 -1.176
Br -4.427 3.019 1.875
Ti -2.973 1.544 0.146
Ti -5.808 4.921 0.552
```

ρ (g/cm3): 5.020
D(E_F) (states/eV/atom): 0.668
Formation energy (no corrections) (meV/atom): -264

Record 6
VASP calculation (GGA-PBE) on crystalline CoCuNi2 at its relaxed geometry.

```
4
Lattice="-2.100 -1.247 0.487 0.977 -2.047 -1.028 2.633 -1.945 6.378" Properties=species:S:1:pos:R:3 pbc="T T T"
Ni 0.014 -0.010 0.034
Ni 0.101 -2.136 1.334
Co 1.294 -0.956 3.135
Cu 1.418 -3.109 4.523
```

ρ (g/cm3): 8.961
Formation energy (eV/atom): 0.0520
D(E_F) (states/eV/atom): 1.208

Record 7
VASP calculation (GGA-PBE) on crystalline BaTlCdPb2 at its relaxed geometry.

```
5
Lattice="4.938 0.000 0.000 0.000 4.938 0.000 -2.469 -2.469 7.035" Properties=species:S:1:pos:R:3 pbc="T T T"
Ba 0.000 0.000 0.000
Tl 2.469 0.000 3.518
Cd 0.000 2.469 3.518
Pb 2.469 2.469 1.580
Pb 0.000 0.000 5.456
```

ρ (g/cm3): 8.409
Formation energy (eV/atom): -0.2360
D(E_F) (states/eV/atom): 0.448

Record 8
VASP calculation (GGA-PBE) on crystalline BaNbS3 at its relaxed geometry.

```
20
Lattice="-4.115 4.081 2.583 -5.116 -6.718 2.465 6.629 2.214 7.060" Properties=species:S:1:pos:R:3 pbc="T T T"
Ba 1.153 4.552 6.701
Ba -3.754 -4.975 5.408
Ba 1.924 -0.316 7.828
Ba -4.525 -0.107 4.282
Nb -0.575 -1.538 4.827
Nb -2.026 1.114 7.283
Nb -7.591 -3.657 4.792
Nb 4.989 3.233 7.317
S 0.405 -2.966 6.462
S -3.006 2.542 5.647
S -0.791 -1.157 9.494
S -1.811 0.734 2.616
S -2.586 -1.076 6.514
S -0.015 0.653 5.595
S -4.433 -5.256 2.384
S 1.832 4.832 9.725
S -2.329 -2.651 3.609
S -0.273 2.228 8.500
S -5.741 -2.639 5.949
S 3.139 2.216 6.160
```

ρ (g/cm3): 4.190
Formation energy (no corrections) (meV/atom): -1390

> What is the formula in the eighth record?

BaNbS3

Repeat the second record exactly.
VASP calculation (GGA-PBE) on crystalline Ca3Pm4YSe8 at its relaxed geometry.

```
16
Lattice="-3.863 1.414 -7.229 -4.747 -6.832 1.200 0.222 5.930 5.826" Properties=species:S:1:pos:R:3 pbc="T T T"
Ca -4.305 -2.709 -3.014
Ca -4.194 0.256 -0.101
Ca -2.262 -0.451 3.513
Pm -1.931 0.707 -3.614
Pm -1.820 3.672 -0.701
Pm 0.000 0.000 0.000
Pm 0.111 2.965 2.913
Y -2.373 -3.416 0.600
Se -4.256 1.181 4.909
Se -4.368 -1.797 1.983
Se -2.069 1.600 1.419
Se -6.196 1.892 1.278
Se -2.191 -1.379 -1.480
Se -6.319 -1.087 -1.621
Se -4.019 2.309 -2.185
Se -4.131 -0.668 -5.111
```

ρ (g/cm3): 5.710
D(E_F) (states/eV/atom): 0.471
Formation energy (no corrections) (meV/atom): -1878

> ρ of number 2 (Ca3Pm4YSe8)?

5.710 g/cm3

> Among the records above, which one has the lowest ρ?

BaNbS3